Record 1
Compound: LiTl2CdSe4
Source: Alexandria
Functional: GGA-PBE
Structure: relaxed

The structure in POSCAR format:
```
LiTl2CdSe4
1.0
-4.6184 3.1778 3.0899
-4.1950 -2.1960 -4.3076
3.3936 -5.3133 4.0540
Se Cd Li Tl
4 1 1 2
direct
0.8580 0.3684 0.2263 Se
0.3684 0.8580 0.2263 Se
0.1400 0.1400 0.7677 Se
0.6277 0.6277 0.7677 Se
0.0013 0.0013 0.0025 Cd
0.5012 0.5012 0.0023 Li
0.2519 0.7519 0.5039 Tl
0.7519 0.2519 0.5039 Tl
```

Output
Formation energy (no corrections) = -0.501 eV per atom
Fermi-level density of states = 2.7 states/eV per cell



Record 2
Compound: Li2UCdSe4
Source: Alexandria
Functional: GGA-PBE
Structure: relaxed

The structure in POSCAR format:
```
Li2UCdSe4
1.0
-4.0354 -0.2925 -0.2828
0.5914 -1.7432 -6.6350
0.1361 -5.7103 3.9638
Se Cd U Li
4 1 1 2
direct
0.0000 0.2566 0.7384 Se
0.5000 0.7502 0.7521 Se
0.5000 0.2498 0.2479 Se
0.0000 0.7434 0.2616 Se
0.0000 0.0000 0.0000 Cd
0.5000 0.5000 0.0000 U
0.0000 0.5000 0.5000 Li
0.5000 0.0000 0.5000 Li
```

Output
Formation energy (no corrections) = -1.025 eV per atom
Fermi-level density of states = 4.1 states/eV per cell



Record 3
Compound: LiY2CdSe4
Source: Alexandria
Functional: GGA-PBE
Structure: relaxed

The structure in POSCAR format:
```
LiY2CdSe4
1.0
-4.0021 0.5914 -0.4722
-1.1483 -2.2421 6.9248
0.3215 5.5819 4.2658
Y Se Cd Li
2 4 1 1
direct
0.0000 0.0000 0.0000 Y
0.5000 0.0000 0.5000 Y
0.0000 0.7611 0.7459 Se
0.5000 0.2430 0.7520 Se
0.0000 0.2389 0.2541 Se
0.5000 0.7570 0.2480 Se
0.5000 0.5000 0.0000 Cd
0.0000 0.5000 0.5000 Li
```

Output
Formation energy (no corrections) = -1.398 eV per atom
Fermi-level density of states = 4.4 states/eV per cell



Record 4
Compound: Li2ZrCdSe4
Source: Alexandria
Functional: GGA-PBE
Structure: relaxed

The structure in POSCAR format:
```
Li2ZrCdSe4
1.0
3.9156 0.0000 0.0000
0.0000 6.8434 -0.0713
0.0000 2.4705 6.4770
Cd Se Li Zr
1 4 2 1
direct
0.5000 0.5000 0.0000 Cd
0.0000 0.7417 0.7412 Se
0.0000 0.2583 0.2588 Se
0.5000 0.7529 0.2680 Se
0.5000 0.2471 0.7320 Se
0.0000 0.0000 0.0000 Li
0.5000 0.0000 0.5000 Li
0.0000 0.5000 0.5000 Zr
```

Output
Formation energy (no corrections) = -1.077 eV per atom



Record 5
Compound: LiCdSi2
Source: Alexandria
Functional: GGA-PBE
Structure: relaxed

The structure in POSCAR format:
```
LiCdSi2
1.0
-1.5800 -0.9935 -1.9482
1.4660 -2.2646 -0.0341
-5.7002 -3.7889 6.5549
Si Cd Li
2 1 1
direct
0.0000 0.0000 0.9627 Si
0.0000 0.0000 0.5373 Si
0.5000 0.5000 0.2500 Cd
0.5000 0.5000 0.7500 Li
```

Output
Formation energy (no corrections) = 0.254 eV per atom
Fermi-level density of states = 2.5 states/eV per cell



Record 6
Compound: LiCdSi2
Source: Alexandria
Functional: GGA-PBE
Structure: relaxed

The structure in POSCAR format:
```
LiCdSi2
1.0
-4.4668 0.3051 2.9627
-4.7257 -1.4153 -2.1184
4.9777 -1.9684 0.4128
Si Cd Li
2 1 1
direct
0.5000 0.5000 0.0000 Si
0.0000 0.0000 0.0000 Si
0.2500 0.7500 0.5000 Cd
0.7500 0.2500 0.5000 Li
```

Output
Formation energy (no corrections) = 0.170 eV per atom
Fermi-level density of states = 1.4 states/eV per cell



Record 7
Compound: Li8Cd2Si
Source: Alexandria
Functional: GGA-PBE
Structure: relaxed

The structure in POSCAR format:
```
Li8Cd2Si
1.0
4.3649 0.0000 -1.2548
-0.3721 5.2737 -1.2944
-0.1366 1.6255 7.7443
Cd Li Si
2 8 1
direct
0.7801 0.3510 0.5602 Cd
0.2199 0.6490 0.4398 Cd
0.4137 0.5563 0.8275 Li
0.6692 0.9078 0.3384 Li
0.0374 0.7623 0.0749 Li
0.8616 0.8310 0.7232 Li
0.1384 0.1690 0.2768 Li
0.5863 0.4437 0.1725 Li
0.9626 0.2377 0.9251 Li
0.3308 0.0922 0.6616 Li
0.5000 0.0000 0.0000 Si
```

Output
Formation energy (no corrections) = -0.191 eV per atom
Excess energy over the best structure of this formula in the dataset = 0 meV/atom
Fermi-level density of states = 3.8 states/eV per cell



Record 8
Compound: LiCdSi
Source: Alexandria
Functional: GGA-PBE
Structure: relaxed

The structure in POSCAR format:
```
LiCdSi
1.0
-0.7158 -3.4975 -2.5477
0.6679 -4.0369 1.5791
-3.4141 -2.6343 0.8004
Si Li Cd
1 1 1
direct
0.5000 0.5000 0.5000 Si
0.0000 0.0000 0.0000 Li
0.7500 0.7500 0.7500 Cd
```

Output
Formation energy (no corrections) = 0.095 eV per atom
Fermi-level density of states = 2.0 states/eV per cell